Version A
# GdAsPdO, relaxed, DFT PBE
# Theoretical density = 8.74 g/cm3
data_GdAsPdO
_space_group_name_H-M_alt 'P m c 21'
_space_group_IT_number 26
_space_group_name_Hall 'P 2c -2'
_cell_length_a 3.268
_cell_length_b 7.225
_cell_length_c 5.709
_cell_angle_alpha 90.00
_cell_angle_beta 90.00
_cell_angle_gamma 90.00
loop_
_atom_site_label
_atom_site_fract_x
_atom_site_fract_y
_atom_site_fract_z
Gd1 0.000 0.125 0.000
As1 0.000 0.499 0.258
Pd1 0.500 0.297 0.513
O1 0.500 0.005 0.253

Version B
# GdAsPdO, relaxed, DFT PBE
# Theoretical density = 8.62 g/cm3
data_GdAsPdO
_space_group_name_H-M_alt 'P 4/n m m'
_space_group_IT_number 129
_cell_length_a 4.129
_cell_length_b 4.129
_cell_length_c 8.008
_cell_angle_alpha 90.00
_cell_angle_beta 90.00
_cell_angle_gamma 90.00
loop_
_space_group_symop_operation_xyz
'x,y,z'
'-x,-y,-z'
'-y+1/2,x,z'
'y+1/2,-x,-z'
'-x+1/2,-y+1/2,z'
'x+1/2,y+1/2,-z'
'y,-x+1/2,z'
'-y,x+1/2,-z'
'x+1/2,-y,-z'
'-x+1/2,y,z'
'-y,-x,-z'
'y,x,z'
'-x,y+1/2,-z'
'x,-y+1/2,z'
'y+1/2,x+1/2,-z'
'-y+1/2,-x+1/2,z'
loop_
_atom_site_label
_atom_site_fract_x
_atom_site_fract_y
_atom_site_fract_z
Gd1 0.250 0.250 0.131
As1 0.250 0.250 0.675
Pd1 0.250 0.750 0.500
O1 0.250 0.750 0.000

Least stable of them? version A.